Sc2CoO4: optimized geometry, PBE with a Hubbard U.

Values from the calculation:
Its total energy is -57.14 eV per formula unit.

Unit cell a=8.7374 b=8.7374 c=8.7374 alpha=90.00 beta=90.00 gamma=90.00
With the nearest neighbours (Å) after each atom.
Space group Fd-3m (No. 227, origin choice 2)
Unique sites:
Sc1 0.0000 0.0000 0.0000 (multiplicity 16)  6 O 2.11
Co1 0.1250 0.1250 0.6250 (multiplicity 8)  4 O 2.02
O1 0.0087 0.0087 0.2413 (multiplicity 32)  1 Co 2.02, 3 Sc 2.11